Record 1
First-principles (PBE) data for a relaxed CuAg2Te5 crystal, as listed in Alexandria.

Uncorrected energy: -50.16 eV/cell
E_form (uncorrected): 0.053 eV/atom
Density of states at the Fermi level: 8.99 states/eV/cell
Symmetry: Cm, No. 8

a = 10.244 Å, b = 8.250 Å, c = 6.208 Å
α = 90.00°, β = 126.38°, γ = 90.00°
Positions (direct):
1 Cu 0.000 0.000 0.000
2 Cu 0.500 0.500 0.000
3 Ag 0.000 0.500 0.049
4 Ag 0.000 0.500 0.548
5 Ag 0.500 0.000 0.049
6 Ag 0.500 0.000 0.548
7 Te 0.000 0.000 0.571
8 Te 0.233 0.233 0.283
9 Te 0.233 0.767 0.283
10 Te 0.267 0.267 0.817
11 Te 0.267 0.733 0.817
12 Te 0.500 0.500 0.571
13 Te 0.733 0.267 0.283
14 Te 0.733 0.733 0.283
15 Te 0.767 0.233 0.817
16 Te 0.767 0.767 0.817

=====

Record 2
First-principles (PBE) data for a relaxed CuAgTe crystal, as listed in Alexandria.

E above lowest polymorph: 10 meV per atom
Uncorrected energy: -40.62 eV/cell
E_form (uncorrected): -0.022 eV/atom
Density of states at the Fermi level: 4.86 states/eV/cell
Symmetry: F-43m, No. 216

a = 6.323 Å, b = 6.323 Å, c = 6.323 Å
α = 90.00°, β = 90.00°, γ = 90.00°
Positions (direct):
1 Cu 0.000 0.000 0.000
2 Cu 0.000 0.500 0.500
3 Cu 0.500 0.000 0.500
4 Cu 0.500 0.500 0.000
5 Ag 0.250 0.250 0.250
6 Ag 0.250 0.750 0.750
7 Ag 0.750 0.250 0.750
8 Ag 0.750 0.750 0.250
9 Te 0.250 0.250 0.750
10 Te 0.250 0.750 0.250
11 Te 0.750 0.250 0.250
12 Te 0.750 0.750 0.750

=====

Record 3
First-principles (PBE) data for a relaxed CuAgTe crystal, as listed in Alexandria.

E above lowest polymorph: 14 meV per atom
Uncorrected energy: -20.29 eV/cell
E_form (uncorrected): -0.018 eV/atom
Density of states at the Fermi level: 0.00 states/eV/cell
Symmetry: P2_1, No. 4

a = 4.402 Å, b = 4.879 Å, c = 6.472 Å
α = 90.00°, β = 95.43°, γ = 90.00°
Positions (direct):
1 Cu 0.116 0.000 0.035
2 Cu 0.884 0.500 0.965
3 Ag 0.034 0.174 0.624
4 Ag 0.966 0.674 0.376
5 Te 0.331 0.668 0.774
6 Te 0.669 0.168 0.226

=====

Record 4
First-principles (PBE) data for a relaxed CuAgTe2 crystal, as listed in Alexandria.

Uncorrected energy: -38.79 eV/cell
E_form (uncorrected): 0.075 eV/atom
Density of states at the Fermi level: 8.85 states/eV/cell
Symmetry: R3m, No. 160

a = 4.194 Å, b = 4.194 Å, c = 18.571 Å
α = 90.00°, β = 90.00°, γ = 120.00°
Positions (direct):
1 Cu 0.000 0.000 0.000
2 Cu 0.333 0.667 0.667
3 Cu 0.667 0.333 0.333
4 Ag 0.000 0.000 0.737
5 Ag 0.333 0.667 0.404
6 Ag 0.667 0.333 0.070
7 Te 0.000 0.000 0.278
8 Te 0.000 0.000 0.481
9 Te 0.333 0.667 0.148
10 Te 0.333 0.667 0.944
11 Te 0.667 0.333 0.611
12 Te 0.667 0.333 0.815

=====

Record 5
First-principles (PBE) data for a relaxed Cu2AgTe crystal, as listed in Alexandria.

E above lowest polymorph: 68 meV per atom
Uncorrected energy: -39.91 eV/cell
E_form (uncorrected): 0.220 eV/atom
Density of states at the Fermi level: 4.40 states/eV/cell
Symmetry: R-3m, No. 166

a = 4.435 Å, b = 4.435 Å, c = 12.861 Å
α = 90.00°, β = 90.00°, γ = 120.00°
Positions (direct):
1 Cu 0.000 0.000 0.219
2 Cu 0.000 0.000 0.781
3 Cu 0.333 0.667 0.448
4 Cu 0.333 0.667 0.886
5 Cu 0.667 0.333 0.114
6 Cu 0.667 0.333 0.552
7 Ag 0.000 0.000 0.500
8 Ag 0.333 0.667 0.167
9 Ag 0.667 0.333 0.833
10 Te 0.000 0.000 0.000
11 Te 0.333 0.667 0.667
12 Te 0.667 0.333 0.333

=====

Record 6
First-principles (PBE) data for a relaxed Cu2AgTe crystal, as listed in Alexandria.

E above lowest polymorph: 120 meV per atom
Uncorrected energy: -52.38 eV/cell
E_form (uncorrected): 0.272 eV/atom
Density of states at the Fermi level: 6.56 states/eV/cell
Symmetry: I-42d, No. 122

a = 4.174 Å, b = 4.174 Å, c = 17.642 Å
α = 90.00°, β = 90.00°, γ = 90.00°
Positions (direct):
1 Cu 0.248 0.250 0.125
2 Cu 0.250 0.748 0.375
3 Cu 0.250 0.752 0.875
4 Cu 0.252 0.250 0.625
5 Cu 0.748 0.750 0.625
6 Cu 0.750 0.248 0.875
7 Cu 0.750 0.252 0.375
8 Cu 0.752 0.750 0.125
9 Ag 0.000 0.000 0.500
10 Ag 0.000 0.500 0.750
11 Ag 0.500 0.000 0.250
12 Ag 0.500 0.500 0.000
13 Te 0.000 0.000 0.000
14 Te 0.000 0.500 0.250
15 Te 0.500 0.000 0.750
16 Te 0.500 0.500 0.500

=====

Record 7
First-principles (PBE) data for a relaxed CuAgTe2 crystal, as listed in Alexandria.

Uncorrected energy: -38.52 eV/cell
E_form (uncorrected): 0.098 eV/atom
Density of states at the Fermi level: 6.33 states/eV/cell
Symmetry: R-3m, No. 166

a = 3.813 Å, b = 3.813 Å, c = 25.301 Å
α = 90.00°, β = 90.00°, γ = 120.00°
Positions (direct):
1 Cu 0.000 0.000 0.000
2 Cu 0.333 0.667 0.667
3 Cu 0.667 0.333 0.333
4 Ag 0.000 0.000 0.500
5 Ag 0.333 0.667 0.167
6 Ag 0.667 0.333 0.833
7 Te 0.000 0.000 0.394
8 Te 0.000 0.000 0.606
9 Te 0.333 0.667 0.061
10 Te 0.333 0.667 0.272
11 Te 0.667 0.333 0.728
12 Te 0.667 0.333 0.939

=====

Record 8
First-principles (PBE) data for a relaxed Cu2Ag2Te3 crystal, as listed in Alexandria.

Uncorrected energy: -46.71 eV/cell
E_form (uncorrected): -0.005 eV/atom
Density of states at the Fermi level: 5.79 states/eV/cell
Symmetry: P2_1/c, No. 14

a = 7.496 Å, b = 7.161 Å, c = 7.567 Å
α = 90.00°, β = 120.25°, γ = 90.00°
Positions (direct):
1 Cu 0.145 0.090 0.154
2 Cu 0.145 0.410 0.654
3 Cu 0.855 0.590 0.346
4 Cu 0.855 0.910 0.846
5 Ag 0.464 0.631 0.333
6 Ag 0.464 0.869 0.833
7 Ag 0.536 0.131 0.167
8 Ag 0.536 0.369 0.667
9 Te 0.135 0.084 0.803
10 Te 0.135 0.416 0.303
11 Te 0.500 0.000 0.500
12 Te 0.500 0.500 0.000
13 Te 0.865 0.584 0.697
14 Te 0.865 0.916 0.197